First-principles (GGA-PBE) data for Rb5TiSe4 after structural relaxation, as listed in Alexandria.

distance to the lowest polymorph of the same formula = 221 meV per atom
uncorrected formation energy = -0.859 eV per atom
density of states at the Fermi level = 6.551 states/eV per cell

Geometry as CIF:
```
data_Rb5TiSe4
_cell_length_a 19.854
_cell_length_b 4.388
_cell_length_c 9.029
_cell_angle_alpha 90.00
_cell_angle_beta 98.60
_cell_angle_gamma 90.00
_symmetry_space_group_name_H-M 'C 1 2/m 1'
_symmetry_Int_Tables_number 12
loop_
_symmetry_equiv_pos_as_xyz
'x,y,z'
'-x,-y,-z'
'-x,y,-z'
'x,-y,z'
'x+1/2,y+1/2,z'
'-x+1/2,-y+1/2,-z'
'-x+1/2,y+1/2,-z'
'x+1/2,-y+1/2,z'
loop_
_atom_site_label
_atom_site_fract_x
_atom_site_fract_y
_atom_site_fract_z
_atom_site_occupancy
Rb1 0.000 0.000 0.000 1
Rb2 0.151 0.500 0.828 1
Rb3 0.177 0.500 0.341 1
Ti1 0.000 0.000 0.500 1
Se1 0.010 0.500 0.305 1
Se2 0.131 0.000 0.568 1
```